A plane-wave DFT calculation with PBE-GGA was carried out for a geometry-optimized ScCoTe2 structure.

Cell: 6.800 6.800 3.628 Å, 90.04 90.04 32.08°
Each line ends with the local moment (μB).
Positions (direct):
Co (0.492, 0.492, 0.375)  0.54
Sc (0.691, 0.691, 0.874)  -0.01
Te (0.023, 0.023, 0.876)  0.01
Te (0.294, 0.294, 0.375)  0.01

---

A plane-wave DFT calculation with PBE-GGA was carried out for a geometry-optimized Sc6CoTe2 structure.

Cell: 3.749 7.747 7.747 Å, 120.00 90.00 90.00°
Positions (direct):
Sc (0.000, 0.765, 0.765)
Sc (0.000, 0.235, 0.000)
Sc (0.000, 0.000, 0.235)
Sc (0.500, 0.389, 0.389)
Sc (0.500, 0.611, 0.000)
Sc (0.500, 0.000, 0.611)
Te (0.000, 0.333, 0.667)
Te (0.000, 0.667, 0.333)
Co (0.500, 0.000, 0.000)

---

Number 1: VASP energy -5.450 eV/atom, total magnetization 0.1327 μB/atom, formation energy without anion corrections -2.1 eV per formula unit. Number 2: VASP energy -6.376 eV/atom, total magnetization 0.0000 μB/atom, formation energy without anion corrections -6.0 eV per formula unit.